1.
PBE In2CuAgCl6, relaxed; total energy = -2.885 eV per atom; space-group type = No. 225
1.0
-4.573 -5.120 -1.388
-6.017 1.470 -3.270
-1.001 -2.105 -6.605
Ag Cl Cu In
1 6 1 2
direct
0.000 0.000 0.000
0.742 0.742 0.258
0.258 0.258 0.742
0.742 0.258 0.258
0.258 0.742 0.742
0.742 0.258 0.742
0.258 0.742 0.258
0.500 0.500 0.500
0.750 0.750 0.750
0.250 0.250 0.250


2.
PBE Tl2CuAgCl6, relaxed; total energy = -2.869 eV per atom; space-group type = No. 12
1.0
6.276 -3.484 0.000
6.276 3.484 0.000
-0.774 0.000 5.965
Cl Tl Cu Ag
6 2 1 1
direct
0.179 0.670 0.734
0.163 0.163 0.710
0.837 0.837 0.290
0.330 0.821 0.266
0.670 0.179 0.734
0.821 0.330 0.266
0.301 0.301 0.322
0.699 0.699 0.678
0.000 0.000 0.500
0.500 0.500 0.000